! CsRb14Ag (PBE, relaxed); values from VASP
&SYSTEM
  ibrav = 0, nat = 16, ntyp = 3
/
ATOMIC_SPECIES
Cs 132.91 Cs.upf
Rb 85.47 Rb.upf
Ag 107.87 Ag.upf
CELL_PARAMETERS angstrom
10.1295 0.3121 0.0000
-2.5259 9.8145 0.0000
0.0000 0.0000 13.8091
ATOMIC_POSITIONS crystal
Cs 0.1211 0.8789 0.5000
Rb 0.1059 0.8941 0.0000
Rb 0.5855 0.4145 0.0000
Rb 0.1381 0.3892 0.5000
Rb 0.0622 0.3782 0.0000
Rb 0.6108 0.8619 0.5000
Rb 0.6218 0.9378 0.0000
Rb 0.4512 0.1888 0.6911
Rb 0.4512 0.1888 0.3089
Rb 0.8112 0.5488 0.6911
Rb 0.8112 0.5488 0.3089
Rb 0.3435 0.6565 0.7691
Rb 0.3435 0.6565 0.2309
Rb 0.8933 0.1067 0.7290
Rb 0.8933 0.1067 0.2710
Ag 0.7561 0.2439 0.5000
! **Uncorrected energy**: -1.0392 eV per atom
! **Mass density**: 1725 kg/m3
! **Calculated formation energy**: 0.039 eV/atom
! **Calculated volume**: 86.48 Å³ per atom
! **Crystal system**: orthorhombic
! **Fermi-level density of states**: 0.90 states/eV/atom

=====

! Cs3RbAg2 (PBE, relaxed); values from VASP
&SYSTEM
  ibrav = 0, nat = 12, ntyp = 3
/
ATOMIC_SPECIES
Cs 132.91 Cs.upf
Rb 85.47 Rb.upf
Ag 107.87 Ag.upf
CELL_PARAMETERS angstrom
-2.1665 -2.5019 3.9525
8.3249 0.4017 8.1793
-3.2027 10.6494 8.3474
ATOMIC_POSITIONS crystal
Cs 0.1680 0.9199 0.7441
Cs 0.8320 0.0801 0.2559
Cs 0.4085 0.2404 0.9427
Cs 0.5915 0.7596 0.0573
Cs 0.5931 0.2670 0.5468
Cs 0.4069 0.7330 0.4532
Rb 0.8298 0.5748 0.7657
Rb 0.1702 0.4252 0.2343
Ag 0.2394 0.5561 0.9652
Ag 0.7606 0.4439 0.0348
Ag 0.7606 0.9447 0.5341
Ag 0.2394 0.0553 0.4659
! **Uncorrected energy**: -1.5196 eV per atom
! **Mass density**: 2994 kg/m3
! **Calculated formation energy**: 0.019 eV/atom
! **Calculated volume**: 64.69 Å³ per atom
! **Crystal system**: monoclinic
! **Fermi-level density of states**: 0.60 states/eV/atom

=====

! CsRb3Ag (PBE, relaxed); values from VASP
&SYSTEM
  ibrav = 0, nat = 10, ntyp = 3
/
ATOMIC_SPECIES
Cs 132.91 Cs.upf
Rb 85.47 Rb.upf
Ag 107.87 Ag.upf
CELL_PARAMETERS angstrom
7.7098 0.0130 2.6438
-1.0960 8.3399 3.2466
0.1892 0.3034 12.0624
ATOMIC_POSITIONS crystal
Cs 0.7123 0.2878 0.5164
Cs 0.2358 0.8117 0.4697
Rb 0.3469 0.3758 0.2468
Rb 0.0793 0.2144 0.7835
Rb 0.9733 0.5668 0.9943
Rb 0.8669 0.9991 0.2083
Rb 0.5986 0.6251 0.7435
Rb 0.4752 0.9213 0.9934
Ag 0.2959 0.2756 0.9974
Ag 0.6482 0.2761 0.9974
! **Uncorrected energy**: -1.2744 eV per atom
! **Mass density**: 2164 kg/m3
! **Calculated formation energy**: 0.047 eV/atom
! **Calculated volume**: 76.31 Å³ per atom
! **Crystal system**: triclinic
! **Fermi-level density of states**: 0.62 states/eV/atom

=====

! Cs12RbAg6 (PBE, relaxed); values from VASP
&SYSTEM
  ibrav = 0, nat = 19, ntyp = 3
/
ATOMIC_SPECIES
Cs 132.91 Cs.upf
Rb 85.47 Rb.upf
Ag 107.87 Ag.upf
CELL_PARAMETERS angstrom
11.2914 0.0000 -3.9921
-5.6457 9.7787 -3.9921
0.0000 0.0000 11.9764
ATOMIC_POSITIONS crystal
Cs 0.3235 0.1404 0.8168
Cs 0.3235 0.5067 0.1832
Cs 0.6765 0.4933 0.8168
Cs 0.6765 0.8596 0.1832
Cs 0.1404 0.8168 0.3235
Cs 0.5067 0.1832 0.3235
Cs 0.4933 0.8168 0.6765
Cs 0.8596 0.1832 0.6765
Cs 0.8168 0.3235 0.1404
Cs 0.1832 0.3235 0.5067
Cs 0.8168 0.6765 0.4933
Cs 0.1832 0.6765 0.8596
Rb 0.0000 0.0000 0.0000
Ag 0.3961 0.5000 0.8961
Ag 0.6039 0.5000 0.1039
Ag 0.5000 0.8961 0.3961
Ag 0.5000 0.1039 0.6039
Ag 0.8961 0.3961 0.5000
Ag 0.1039 0.6039 0.5000
! **Uncorrected energy**: -1.4673 eV per atom
! **Mass density**: 2923 kg/m3
! **Calculated formation energy**: 0.023 eV/atom
! **Calculated volume**: 69.60 Å³ per atom
! **Crystal system**: cubic
! **Fermi-level density of states**: 0.64 states/eV/atom

=====

! Cs7Rb2Ag (PBE, relaxed); values from VASP
&SYSTEM
  ibrav = 0, nat = 20, ntyp = 3
/
ATOMIC_SPECIES
Cs 132.91 Cs.upf
Rb 85.47 Rb.upf
Ag 107.87 Ag.upf
CELL_PARAMETERS angstrom
-11.5063 -0.9733 5.4441
-0.2648 -5.1704 13.4846
-4.3895 9.8411 7.4506
ATOMIC_POSITIONS crystal
Cs 0.7069 0.5177 0.8635
Cs 0.9120 0.0177 0.3635
Cs 0.2320 0.8789 0.9501
Cs 0.3373 0.1997 0.5500
Cs 0.6169 0.2500 0.7500
Cs 0.9389 0.3789 0.4501
Cs 0.0870 0.3003 0.9500
Cs 0.9130 0.6997 0.0500
Cs 0.0611 0.6211 0.5499
Cs 0.3831 0.7500 0.2500
Cs 0.6627 0.8003 0.4500
Cs 0.7680 0.1211 0.0499
Cs 0.0880 0.9823 0.6365
Cs 0.2931 0.4823 0.1365
Rb 0.6517 0.9008 0.8147
Rb 0.6328 0.4008 0.3147
Rb 0.3672 0.5992 0.6853
Rb 0.3483 0.0992 0.1853
Ag 0.9516 0.2500 0.7500
Ag 0.0484 0.7500 0.2500
! **Uncorrected energy**: -1.0532 eV per atom
! **Mass density**: 2127 kg/m3
! **Calculated formation energy**: 0.023 eV/atom
! **Calculated volume**: 94.41 Å³ per atom
! **Crystal system**: monoclinic
! **Fermi-level density of states**: 0.97 states/eV/atom

=====

! CsRb3Ag (PBE, relaxed); values from VASP
&SYSTEM
  ibrav = 0, nat = 5, ntyp = 3
/
ATOMIC_SPECIES
Cs 132.91 Cs.upf
Rb 85.47 Rb.upf
Ag 107.87 Ag.upf
CELL_PARAMETERS angstrom
-5.5331 -0.0012 4.6753
-4.6040 -1.2588 -5.4491
0.8134 -7.1337 0.9608
ATOMIC_POSITIONS crystal
Cs 0.5000 0.5000 0.5000
Rb 0.0000 0.5000 0.0000
Rb 0.0000 0.0000 0.5000
Rb 0.5000 0.0000 0.0000
Ag 0.0000 0.0000 0.0000
! **Uncorrected energy**: -1.2667 eV per atom
! **Mass density**: 2172 kg/m3
! **Calculated formation energy**: 0.055 eV/atom
! **Calculated volume**: 76.02 Å³ per atom
! **Crystal system**: cubic
! **Fermi-level density of states**: 0.93 states/eV/atom

=====

! Cs2RbAg2 (PBE, relaxed); values from VASP
&SYSTEM
  ibrav = 0, nat = 5, ntyp = 3
/
ATOMIC_SPECIES
Cs 132.91 Cs.upf
Rb 85.47 Rb.upf
Ag 107.87 Ag.upf
CELL_PARAMETERS angstrom
5.4913 0.0000 0.0000
0.0000 5.0237 -1.4282
0.0000 0.0993 9.8989
ATOMIC_POSITIONS crystal
Cs 0.5000 0.6541 0.3082
Cs 0.5000 0.3459 0.6918
Rb 0.0000 0.0000 0.0000
Ag 0.0000 0.2178 0.4356
Ag 0.0000 0.7822 0.5644
! **Uncorrected energy**: -1.6357 eV per atom
! **Mass density**: 3438 kg/m3
! **Calculated formation energy**: 0.040 eV/atom
! **Calculated volume**: 54.77 Å³ per atom
! **Crystal system**: orthorhombic
! **Fermi-level density of states**: 0.63 states/eV/atom

=====

! Cs4Rb4Ag (PBE, relaxed); values from VASP
&SYSTEM
  ibrav = 0, nat = 9, ntyp = 3
/
ATOMIC_SPECIES
Cs 132.91 Cs.upf
Rb 85.47 Rb.upf
Ag 107.87 Ag.upf
CELL_PARAMETERS angstrom
-2.9462 -4.6385 -0.1651
-1.4530 -2.6561 9.0196
-15.0499 6.1942 3.0067
ATOMIC_POSITIONS crystal
Cs 0.3542 0.0718 0.2198
Cs 0.6458 0.9282 0.7802
Cs 0.8832 0.2841 0.9494
Cs 0.1168 0.7159 0.0506
Rb 0.6006 0.4926 0.3062
Rb 0.8702 0.7905 0.4692
Rb 0.3994 0.5074 0.6938
Rb 0.1298 0.2095 0.5308
Ag 0.5000 0.0000 0.0000
! **Uncorrected energy**: -1.1094 eV per atom
! **Mass density**: 2023 kg/m3
! **Calculated formation energy**: 0.017 eV/atom
! **Calculated volume**: 89.51 Å³ per atom
! **Crystal system**: monoclinic
! **Fermi-level density of states**: 0.84 states/eV/atom